No. 1
Computed, not measured: a geometry-optimized Nd2CuBr structure at the PBE level of DFT.

Unit cell a=3.4980 b=3.4980 c=8.3092 alpha=90.00 beta=90.00 gamma=90.00
Fractional coordinates of all 4 atoms:
Nd: 0.0000 0.0000 0.7797
Nd: 0.0000 0.0000 0.2203
Cu: 0.5000 0.5000 0.0000
Br: 0.5000 0.5000 0.5000

The value obtained for the raw formation energy is -0.561 eV/atom. The energy comes out at -4.387 eV per atom.

=====

No. 2
Computed, not measured: a geometry-optimized Nd2Cu2Br structure at the PBE level of DFT.

Unit cell a=4.2050 b=4.2050 c=8.5474 alpha=89.97 beta=104.20 gamma=120.14
Fractional coordinates of all 5 atoms:
Nd: 0.8539 0.4264 0.2802
Nd: 0.1461 0.5736 0.7198
Cu: 0.3347 0.1672 0.5019
Cu: 0.6653 0.8328 0.4981
Br: 0.0000 0.0000 0.0000

The value obtained for the raw formation energy is -0.639 eV/atom. The energy comes out at -4.519 eV per atom.

=====

No. 3
Computed, not measured: a geometry-optimized Nd2CuBr structure at the PBE level of DFT.

Unit cell a=4.0910 b=4.0910 c=8.1030 alpha=75.38 beta=75.38 gamma=60.00
Fractional coordinates of all 4 atoms:
Nd: 0.0708 0.0708 0.7876
Nd: 0.2628 0.2628 0.2115
Cu: 0.6672 0.6672 0.9983
Br: 0.4991 0.4991 0.5027

The value obtained for the raw formation energy is -0.624 eV/atom. The energy comes out at -4.450 eV per atom.

=====

No. 4
Computed, not measured: a geometry-optimized Nd4CuBr5 structure at the PBE level of DFT.

Unit cell a=4.0685 b=8.7655 c=9.5211 alpha=102.14 beta=102.34 gamma=90.00
Fractional coordinates of all 10 atoms:
Nd: 0.3436 0.9238 0.6872
Nd: 0.9985 0.7751 0.9969
Nd: 0.6564 0.0762 0.3128
Nd: 0.0015 0.2249 0.0031
Cu: 0.5000 0.0000 0.0000
Br: 0.8322 0.6670 0.6644
Br: 0.8291 0.1767 0.6583
Br: 0.1709 0.8233 0.3417
Br: 0.5000 0.5000 0.0000
Br: 0.1678 0.3330 0.3356

The value obtained for the raw formation energy is -1.311 eV/atom. The energy comes out at -4.464 eV per atom.

=====

No. 5
Computed, not measured: a geometry-optimized Nd6CuBr8 structure at the PBE level of DFT.

Unit cell a=7.3062 b=7.3062 c=11.7707 alpha=71.92 beta=71.92 gamma=60.00
Fractional coordinates of all 15 atoms:
Nd: 0.9488 0.6377 0.1536
Nd: 0.7401 0.0512 0.8464
Nd: 0.3623 0.7401 0.8464
Nd: 0.6377 0.2599 0.1536
Nd: 0.2599 0.9488 0.1536
Nd: 0.0512 0.3623 0.8464
Cu: 0.0000 0.0000 0.0000
Br: 0.7656 0.4467 0.6815
Br: 0.8939 0.2344 0.3185
Br: 0.5533 0.8939 0.3185
Br: 0.3333 0.3333 0.0000
Br: 0.6667 0.6667 0.0000
Br: 0.4467 0.1061 0.6815
Br: 0.1061 0.7656 0.6815
Br: 0.2344 0.5533 0.3185

The value obtained for the raw formation energy is -1.353 eV/atom. The energy comes out at -4.426 eV per atom.

=====

No. 6
Computed, not measured: a geometry-optimized Nd2CuBr structure at the PBE level of DFT.

Unit cell a=4.1711 b=4.1711 c=7.7627 alpha=74.42 beta=74.42 gamma=60.00
Fractional coordinates of all 4 atoms:
Nd: 0.2607 0.2607 0.2180
Nd: 0.7393 0.7393 0.7820
Cu: 0.0000 0.0000 0.0000
Br: 0.5000 0.5000 0.5000

The value obtained for the raw formation energy is -0.645 eV/atom. The energy comes out at -4.471 eV per atom.

=====

No. 7
Computed, not measured: a geometry-optimized NdCu2Br8 structure at the PBE level of DFT.

Unit cell a=7.2430 b=7.2430 c=8.0542 alpha=116.72 beta=116.72 gamma=90.00
Fractional coordinates of all 11 atoms:
Nd: 0.5000 0.5000 0.0000
Cu: 0.7500 0.2500 0.5000
Cu: 0.2500 0.7500 0.5000
Br: 0.7883 0.2915 0.2342
Br: 0.0574 0.5542 0.7658
Br: 0.7085 0.2117 0.7658
Br: 0.2117 0.0574 0.7658
Br: 0.4458 0.9426 0.2342
Br: 0.9426 0.7883 0.2342
Br: 0.2915 0.4458 0.2342
Br: 0.5542 0.7085 0.7658

The value obtained for the raw formation energy is -0.742 eV/atom. The energy comes out at -3.137 eV per atom.

=====

No. 8
Computed, not measured: a geometry-optimized Nd6CuNi2Br3 structure at the PBE level of DFT.

Unit cell a=7.1299 b=7.1299 c=8.0277 alpha=98.53 beta=98.53 gamma=119.95
Fractional coordinates of all 12 atoms:
Nd: 0.9332 0.5874 0.8008
Nd: 0.7199 0.7199 0.1977
Nd: 0.0668 0.4126 0.1992
Nd: 0.5874 0.9332 0.8008
Nd: 0.2801 0.2801 0.8023
Nd: 0.4126 0.0668 0.1992
Cu: 0.0000 0.0000 0.0000
Ni: 0.3328 0.6672 0.0000
Ni: 0.6672 0.3328 0.0000
Br: 0.1651 0.8349 0.5000
Br: 0.8349 0.1651 0.5000
Br: 0.5000 0.5000 0.5000

The value obtained for the raw formation energy is -0.743 eV/atom. The energy comes out at -4.850 eV per atom.

=====

No. 9
Computed, not measured: a geometry-optimized Nd8CuOs3Br4 structure at the PBE level of DFT.

Unit cell a=8.2715 b=9.2000 c=8.2717 alpha=116.75 beta=120.00 gamma=90.00
Fractional coordinates of all 16 atoms:
Nd: 0.2386 0.6966 0.9583
Nd: 0.2387 0.6968 0.4773
Nd: 0.2664 0.2996 0.5328
Nd: 0.7197 0.6966 0.9583
Nd: 0.2803 0.3034 0.0417
Nd: 0.7336 0.7004 0.4672
Nd: 0.7613 0.3032 0.5227
Nd: 0.7614 0.3034 0.0417
Cu: 0.0000 0.5000 0.0000
Os: 0.5000 0.5000 0.0000
Os: 0.5000 0.5000 0.5000
Os: 0.0000 0.5000 0.5000
Br: 0.5000 0.0000 0.0000
Br: 0.5000 0.0000 0.5000
Br: 0.0000 0.0000 0.0000
Br: 0.0000 0.0000 0.5000

The value obtained for the raw formation energy is -0.695 eV/atom. The energy comes out at -5.859 eV per atom.

=====

No. 10
Computed, not measured: a geometry-optimized Nd6CuOs2Br3 structure at the PBE level of DFT.

Unit cell a=7.1782 b=7.1782 c=8.2161 alpha=98.37 beta=98.37 gamma=120.00
Fractional coordinates of all 12 atoms:
Nd: 0.9340 0.5858 0.8021
Nd: 0.7177 0.7177 0.1978
Nd: 0.0660 0.4142 0.1979
Nd: 0.5858 0.9340 0.8021
Nd: 0.2823 0.2823 0.8022
Nd: 0.4142 0.0660 0.1979
Cu: 0.0000 0.0000 0.0000
Os: 0.3335 0.6665 0.0000
Os: 0.6665 0.3335 0.0000
Br: 0.1683 0.8317 0.5000
Br: 0.8317 0.1683 0.5000
Br: 0.5000 0.5000 0.5000

The value obtained for the raw formation energy is -0.724 eV/atom. The energy comes out at -5.740 eV per atom.

=====

No. 11
Computed, not measured: a geometry-optimized Nd4CuOsBr2 structure at the PBE level of DFT.

Unit cell a=4.1864 b=7.1256 c=8.1798 alpha=107.12 beta=90.00 gamma=90.00
Fractional coordinates of all 8 atoms:
Nd: 0.5000 0.2444 0.1983
Nd: 0.5000 0.7556 0.8017
Nd: 0.0000 0.2742 0.8022
Nd: 0.0000 0.7258 0.1978
Cu: 0.0000 0.0000 0.0000
Os: 0.5000 0.5000 0.0000
Br: 0.5000 0.0000 0.5000
Br: 0.0000 0.5000 0.5000

The value obtained for the raw formation energy is -0.709 eV/atom. The energy comes out at -5.427 eV per atom.

=====

No. 12
Computed, not measured: a geometry-optimized RbNdCu2Br8 structure at the PBE level of DFT.

Unit cell a=6.9516 b=6.9516 c=9.2868 alpha=111.98 beta=111.98 gamma=90.00
Fractional coordinates of all 12 atoms:
Rb: 0.0000 0.0000 0.0000
Nd: 0.7500 0.2500 0.5000
Cu: 0.5000 0.5000 0.0000
Cu: 0.2500 0.7500 0.5000
Br: 0.7060 0.8522 0.1725
Br: 0.4665 0.3203 0.1725
Br: 0.5852 0.6479 0.6219
Br: 0.0367 0.9740 0.6219
Br: 0.0260 0.4148 0.3781
Br: 0.3521 0.9633 0.3781
Br: 0.1478 0.5335 0.8275
Br: 0.6797 0.2940 0.8275

The value obtained for the raw formation energy is -0.972 eV/atom. The energy comes out at -3.248 eV per atom.

=====

No. 13
Computed, not measured: a geometry-optimized Rb2NdCuBr6 structure at the PBE level of DFT.

Unit cell a=8.3093 b=8.9202 c=10.0346 alpha=90.00 beta=89.64 gamma=90.00
Fractional coordinates of all 20 atoms:
Rb: 0.0189 0.9202 0.2523
Rb: 0.5189 0.5798 0.7523
Rb: 0.9811 0.0798 0.7477
Rb: 0.4811 0.4202 0.2477
Nd: 0.5000 0.0000 0.0000
Nd: 0.0000 0.5000 0.5000
Cu: 0.5000 0.0000 0.5000
Cu: 0.0000 0.5000 0.0000
Br: 0.3235 0.7264 0.0467
Br: 0.8235 0.7736 0.5467
Br: 0.6765 0.2736 0.9533
Br: 0.1765 0.2264 0.4533
Br: 0.2862 0.6739 0.4527
Br: 0.7862 0.8261 0.9527
Br: 0.7138 0.3261 0.5473
Br: 0.2138 0.1739 0.0473
Br: 0.9058 0.5273 0.2154
Br: 0.4058 0.9727 0.7154
Br: 0.0942 0.4727 0.7846
Br: 0.5942 0.0273 0.2846

The value obtained for the raw formation energy is -1.489 eV/atom. The energy comes out at -3.573 eV per atom.

=====

No. 14
Computed, not measured: a geometry-optimized Rb2NdCuBr6 structure at the PBE level of DFT.

Unit cell a=7.8859 b=7.8859 c=7.8859 alpha=60.00 beta=60.00 gamma=60.00
Fractional coordinates of all 10 atoms:
Rb: 0.7500 0.7500 0.7500
Rb: 0.2500 0.2500 0.2500
Nd: 0.5000 0.5000 0.5000
Cu: 0.0000 0.0000 0.0000
Br: 0.7586 0.2414 0.2414
Br: 0.2414 0.2414 0.7586
Br: 0.2414 0.7586 0.7586
Br: 0.2414 0.7586 0.2414
Br: 0.7586 0.2414 0.7586
Br: 0.7586 0.7586 0.2414

The value obtained for the raw formation energy is -1.465 eV/atom. The energy comes out at -3.548 eV per atom.

=====

No. 15
Computed, not measured: a geometry-optimized RbNdCuBr6 structure at the PBE level of DFT.

Unit cell a=7.0847 b=7.7717 c=7.7728 alpha=97.66 beta=92.64 gamma=55.47
Fractional coordinates of all 9 atoms:
Rb: 0.9342 0.0431 0.0011
Nd: 0.6311 0.6771 0.4912
Cu: 0.3364 0.3120 0.5219
Br: 0.0633 0.3532 0.2954
Br: 0.3521 0.0222 0.7484
Br: 0.6065 0.3806 0.6741
Br: 0.0178 0.5977 0.7168
Br: 0.4064 0.6163 0.2085
Br: 0.6520 0.9979 0.3427

The value obtained for the raw formation energy is -1.300 eV/atom. The energy comes out at -3.508 eV per atom.

=====

No. 16
Computed, not measured: a geometry-optimized Nd6CuRh2Br3 structure at the PBE level of DFT.

Unit cell a=7.1933 b=7.1933 c=8.1587 alpha=98.46 beta=98.46 gamma=119.98
Fractional coordinates of all 12 atoms:
Nd: 0.9343 0.5933 0.8027
Nd: 0.7248 0.7248 0.1973
Nd: 0.0657 0.4067 0.1973
Nd: 0.5933 0.9343 0.8027
Nd: 0.2752 0.2752 0.8027
Nd: 0.4067 0.0657 0.1973
Cu: 0.0000 0.0000 0.0000
Rh: 0.3333 0.6667 0.0000
Rh: 0.6667 0.3333 0.0000
Br: 0.1666 0.8334 0.5000
Br: 0.8334 0.1666 0.5000
Br: 0.5000 0.5000 0.5000

The value obtained for the raw formation energy is -0.931 eV/atom. The energy comes out at -5.300 eV per atom.

=====

No. 17
Computed, not measured: a geometry-optimized Nd6CuRu2Br3 structure at the PBE level of DFT.

Unit cell a=7.1226 b=7.1226 c=8.2322 alpha=98.29 beta=98.29 gamma=119.99
Fractional coordinates of all 12 atoms:
Nd: 0.9340 0.5872 0.8024
Nd: 0.7190 0.7190 0.1975
Nd: 0.0660 0.4128 0.1976
Nd: 0.5872 0.9340 0.8024
Nd: 0.2810 0.2810 0.8025
Nd: 0.4128 0.0660 0.1976
Cu: 0.0000 0.0000 0.0000
Ru: 0.3334 0.6666 0.0000
Ru: 0.6666 0.3334 0.0000
Br: 0.1682 0.8318 0.5000
Br: 0.8318 0.1682 0.5000
Br: 0.5000 0.5000 0.5000

The value obtained for the raw formation energy is -0.790 eV/atom. The energy comes out at -5.479 eV per atom.

=====

No. 18
Computed, not measured: a geometry-optimized Nd4CuRuBr2 structure at the PBE level of DFT.

Unit cell a=4.1479 b=7.1315 c=8.1805 alpha=107.03 beta=90.00 gamma=90.00
Fractional coordinates of all 8 atoms:
Nd: 0.5000 0.2456 0.1978
Nd: 0.5000 0.7544 0.8022
Nd: 0.0000 0.2721 0.8025
Nd: 0.0000 0.7279 0.1975
Cu: 0.0000 0.0000 0.0000
Ru: 0.5000 0.5000 0.0000
Br: 0.5000 0.0000 0.5000
Br: 0.0000 0.5000 0.5000

The value obtained for the raw formation energy is -0.753 eV/atom. The energy comes out at -5.227 eV per atom.

=====

No. 19
Computed, not measured: a geometry-optimized Nd4CuSiBr2 structure at the PBE level of DFT.

Unit cell a=4.1698 b=7.4434 c=7.6315 alpha=107.62 beta=90.00 gamma=90.00
Fractional coordinates of all 8 atoms:
Nd: 0.5000 0.2327 0.2141
Nd: 0.5000 0.7673 0.7859
Nd: 0.0000 0.2641 0.7809
Nd: 0.0000 0.7359 0.2191
Cu: 0.0000 0.0000 0.0000
Si: 0.5000 0.5000 0.0000
Br: 0.5000 0.0000 0.5000
Br: 0.0000 0.5000 0.5000

The value obtained for the raw formation energy is -0.843 eV/atom. The energy comes out at -4.835 eV per atom.

=====

No. 20
Computed, not measured: a geometry-optimized Nd6CuTc2Br3 structure at the PBE level of DFT.

Unit cell a=7.0382 b=7.0382 c=8.4570 alpha=97.86 beta=97.86 gamma=121.61
Fractional coordinates of all 12 atoms:
Nd: 0.9320 0.5933 0.7858
Nd: 0.7048 0.7048 0.1866
Nd: 0.0680 0.4067 0.2142
Nd: 0.5933 0.9320 0.7858
Nd: 0.2952 0.2952 0.8134
Nd: 0.4067 0.0680 0.2142
Cu: 0.0000 0.0000 0.0000
Tc: 0.3203 0.6797 0.0000
Tc: 0.6797 0.3203 0.0000
Br: 0.1694 0.8306 0.5000
Br: 0.8306 0.1694 0.5000
Br: 0.5000 0.5000 0.5000

The value obtained for the raw formation energy is -0.575 eV/atom. The energy comes out at -5.446 eV per atom.